VASP calculation (PBE) on a geometry-optimized Sc2Cd2Pb structure.

```
Sc2Cd2Pb
1.0
-2.250 2.250 6.580
2.250 -2.250 6.580
2.250 2.250 -6.580
Sc Cd Pb
2 2 1
Direct
0.250 0.750 0.500
0.750 0.250 0.500
0.103 0.103 0.000
0.897 0.897 0.000
0.500 0.500 0.000
```

Output
E_form in meV per atom: 80
Distance to the lowest polymorph of the same formula in meV/atom: 245.2

=====

VASP calculation (PBE) on a geometry-optimized Ca4CuHg3 structure.

```
Ca4CuHg3
1.0
3.734 0.000 0.000
0.000 3.734 0.000
0.000 0.000 15.027
Ca Cu Hg
4 1 3
Direct
0.000 0.000 0.116
0.000 0.000 0.372
0.000 0.000 0.628
0.000 0.000 0.884
0.500 0.500 0.000
0.500 0.500 0.243
0.500 0.500 0.500
0.500 0.500 0.757
```

Output
E_form in meV per atom: -416

=====

VASP calculation (PBE) on a geometry-optimized BaPa2PtN5 structure.

```
BaPa2PtN5
1.0
-3.348 3.348 6.028
3.348 -3.348 6.028
3.348 3.348 -6.028
Ba Pa Pt N
2 4 2 10
Direct
0.250 0.250 0.000
0.750 0.750 0.000
0.181 0.681 0.862
0.319 0.181 0.500
0.681 0.819 0.500
0.819 0.319 0.138
0.250 0.750 0.500
0.750 0.250 0.500
0.000 0.000 0.000
0.018 0.248 0.500
0.248 0.748 0.229
0.252 0.482 0.500
0.482 0.982 0.229
0.500 0.500 0.000
0.518 0.018 0.771
0.748 0.518 0.500
0.752 0.252 0.771
0.982 0.752 0.500
```

Output
Energy relative to the elements, uncorrected in eV per atom: -0.931

=====

VASP calculation (PBE) on a geometry-optimized Np2PaSb3 structure.

```
Np2PaSb3
1.0
3.813 -6.606 0.000
3.813 6.606 0.000
-2.545 0.000 7.133
Np Pa Sb
4 2 6
Direct
0.000 0.000 0.000
0.166 0.834 0.500
0.500 0.500 0.500
0.834 0.166 0.500
0.333 0.667 0.000
0.667 0.333 0.000
0.083 0.418 0.249
0.252 0.252 0.751
0.418 0.083 0.249
0.582 0.917 0.751
0.748 0.748 0.249
0.917 0.582 0.751
```

Output
Energy relative to the elements, uncorrected in eV per atom: -0.293

=====

VASP calculation (PBE) on a geometry-optimized Mg3SiO5F structure.

```
Mg3SiO5F
1.0
10.408 0.000 0.000
0.000 4.769 0.000
0.000 0.000 8.927
Mg Si O F
12 4 20 4
Direct
0.093 0.002 0.000
0.133 0.510 0.324
0.134 0.506 0.682
0.366 0.006 0.182
0.367 0.010 0.824
0.407 0.502 0.500
0.593 0.498 0.000
0.633 0.990 0.324
0.634 0.994 0.682
0.866 0.494 0.182
0.867 0.490 0.824
0.907 0.998 0.500
0.221 0.074 0.500
0.279 0.574 0.000
0.721 0.426 0.500
0.779 0.926 0.000
0.036 0.279 0.165
0.077 0.220 0.501
0.206 0.726 0.856
0.207 0.722 0.147
0.222 0.733 0.499
0.278 0.233 0.999
0.293 0.222 0.647
0.294 0.226 0.356
0.423 0.720 0.001
0.464 0.779 0.665
0.536 0.221 0.165
0.577 0.280 0.501
0.706 0.774 0.856
0.707 0.778 0.147
0.722 0.767 0.499
0.778 0.267 0.999
0.793 0.278 0.647
0.794 0.274 0.356
0.923 0.780 0.001
0.964 0.721 0.665
0.033 0.260 0.834
0.467 0.760 0.334
0.533 0.240 0.834
0.967 0.740 0.334
```

Output
Energy relative to the elements, uncorrected in eV per atom: -2.676

=====

VASP calculation (PBE) on a geometry-optimized Ba2Ni structure.

```
Ba2Ni
1.0
4.509 0.000 0.000
-2.255 3.905 0.000
0.000 0.000 7.413
Ba Ni
2 1
Direct
0.333 0.667 0.272
0.667 0.333 0.728
0.000 0.000 0.500
```

Output
E_form in meV per atom: 42

=====

VASP calculation (PBE) on a geometry-optimized Nd2HoMg2 structure.

```
Nd2HoMg2
1.0
3.833 0.000 0.000
0.000 5.484 0.000
-1.924 0.000 14.147
Nd Ho Mg
4 2 4
Direct
0.045 0.250 0.090
0.236 0.250 0.473
0.764 0.750 0.527
0.955 0.750 0.910
0.150 0.750 0.299
0.850 0.250 0.701
0.360 0.750 0.720
0.446 0.250 0.890
0.554 0.750 0.110
0.640 0.250 0.280
```

Output
E_form in meV per atom: -65
Distance to the lowest polymorph of the same formula in meV/atom: 0.0

=====

VASP calculation (PBE) on a geometry-optimized TlReBr2 structure.

```
TlReBr2
1.0
3.271 0.000 0.000
0.000 3.271 0.000
0.000 0.000 8.787
Tl Re Br
1 1 2
Direct
0.000 0.000 0.000
0.500 0.500 0.737
0.000 0.000 0.601
0.500 0.500 0.247
```

Output
Distance to the lowest polymorph of the same formula in meV/atom: 362.5
Energy relative to the elements, uncorrected in eV per atom: 0.681